Run w
VASP calculation (PBE-GGA) on a geometry-optimized NdPd6Au2 structure.

a = 4.771 Å, b = 4.771 Å, c = 9.371 Å
α = 90.00°, β = 90.00°, γ = 120.00°
Fractional coordinates of all 9 atoms:
Nd (0.000, 0.000, 0.000)
Pd (0.000, 0.339, 0.750)
Pd (0.000, 0.661, 0.250)
Pd (0.339, 0.000, 0.750)
Pd (0.339, 0.339, 0.250)
Pd (0.661, 0.000, 0.250)
Pd (0.661, 0.661, 0.750)
Au (0.333, 0.667, 0.500)
Au (0.667, 0.333, 0.500)

The value obtained for the calculated volume is 184.7 Å³ per cell.



Run x
VASP calculation (PBE-GGA) on a geometry-optimized NdPd6Au2 structure.

a = 6.314 Å, b = 6.314 Å, c = 6.314 Å
α = 60.00°, β = 60.00°, γ = 60.00°
Fractional coordinates of all 9 atoms:
Nd (0.000, 0.000, 0.000)
Pd (0.287, 0.287, 0.713)
Pd (0.287, 0.713, 0.287)
Pd (0.287, 0.713, 0.713)
Pd (0.713, 0.287, 0.287)
Pd (0.713, 0.287, 0.713)
Pd (0.713, 0.713, 0.287)
Au (0.250, 0.250, 0.250)
Au (0.750, 0.750, 0.750)

The value obtained for the calculated volume is 178.0 Å³ per cell.



Energy comparison, zero being the most stable, in meV/atom: run w 0; run x 289.



Run w
VASP calculation (PBE-GGA) on a geometry-optimized NdPd2Au4 structure.

a = 5.677 Å, b = 5.677 Å, c = 5.432 Å
α = 118.44°, β = 118.44°, γ = 76.95°
Fractional coordinates of all 7 atoms:
Nd (0.000, 0.000, 0.000)
Pd (0.499, 0.499, 0.250)
Pd (0.501, 0.501, 0.750)
Au (0.000, 0.396, 0.698)
Au (0.000, 0.604, 0.302)
Au (0.396, 0.000, 0.698)
Au (0.604, 0.000, 0.302)

The value obtained for the calculated volume is 135.3 Å³ per cell.



Run x
VASP calculation (PBE-GGA) on a geometry-optimized NdPd2Au4 structure.

a = 6.500 Å, b = 6.500 Å, c = 6.500 Å
α = 99.18°, β = 99.18°, γ = 132.91°
Fractional coordinates of all 7 atoms:
Nd (0.000, 0.000, 0.000)
Pd (0.250, 0.750, 0.500)
Pd (0.750, 0.250, 0.500)
Au (0.274, 0.500, 0.774)
Au (0.500, 0.274, 0.774)
Au (0.500, 0.726, 0.226)
Au (0.726, 0.500, 0.226)

The value obtained for the calculated volume is 184.4 Å³ per cell.



Energy comparison, zero being the most stable, in meV/atom: run w 0; run x 567.



Run w
VASP calculation (PBE-GGA) on a geometry-optimized Nd8PdAu2 structure.

a = 8.217 Å, b = 8.217 Å, c = 6.142 Å
α = 101.70°, β = 101.70°, γ = 116.14°
Fractional coordinates of all 11 atoms:
Nd (0.000, 0.000, 0.000)
Nd (0.022, 0.272, 0.581)
Nd (0.172, 0.574, 0.198)
Nd (0.272, 0.022, 0.581)
Nd (0.471, 0.720, 0.830)
Nd (0.574, 0.172, 0.198)
Nd (0.720, 0.471, 0.830)
Nd (0.735, 0.735, 0.391)
Pd (0.361, 0.361, 0.014)
Au (0.067, 0.669, 0.694)
Au (0.669, 0.067, 0.694)

The value obtained for the calculated volume is 343.9 Å³ per cell.



Run x
VASP calculation (PBE-GGA) on a geometry-optimized Nd8PdAu2 structure.

a = 9.491 Å, b = 9.491 Å, c = 7.057 Å
α = 100.54°, β = 100.54°, γ = 31.76°
Fractional coordinates of all 11 atoms:
Nd (0.027, 0.027, 0.275)
Nd (0.202, 0.202, 0.832)
Nd (0.338, 0.338, 0.527)
Nd (0.412, 0.412, 0.050)
Nd (0.588, 0.588, 0.950)
Nd (0.662, 0.662, 0.473)
Nd (0.798, 0.798, 0.168)
Nd (0.973, 0.973, 0.725)
Pd (0.500, 0.500, 0.500)
Au (0.191, 0.191, 0.246)
Au (0.809, 0.809, 0.754)

The value obtained for the calculated volume is 328.5 Å³ per cell.



Energy comparison, zero being the most stable, in meV/atom: run w 118; run x 0.



Run w
VASP calculation (PBE-GGA) on a geometry-optimized NdPd2Au2 structure.

a = 10.647 Å, b = 10.647 Å, c = 4.252 Å
α = 90.00°, β = 90.00°, γ = 156.45°
Fractional coordinates of all 10 atoms:
Nd (0.151, 0.849, 0.750)
Nd (0.849, 0.151, 0.250)
Pd (0.049, 0.951, 0.250)
Pd (0.250, 0.750, 0.250)
Pd (0.750, 0.250, 0.750)
Pd (0.951, 0.049, 0.750)
Au (0.352, 0.648, 0.750)
Au (0.455, 0.545, 0.250)
Au (0.545, 0.455, 0.750)
Au (0.648, 0.352, 0.250)

The value obtained for the calculated volume is 192.6 Å³ per cell.



Run x
VASP calculation (PBE-GGA) on a geometry-optimized NdPd2Au2 structure.

a = 13.139 Å, b = 13.139 Å, c = 13.139 Å
α = 162.37°, β = 162.37°, γ = 25.04°
Fractional coordinates of all 10 atoms:
Nd (0.123, 0.123, 0.000)
Nd (0.877, 0.877, 0.000)
Pd (0.250, 0.750, 0.500)
Pd (0.425, 0.425, 0.000)
Pd (0.575, 0.575, 0.000)
Pd (0.750, 0.250, 0.500)
Au (0.000, 0.500, 0.500)
Au (0.323, 0.323, 0.000)
Au (0.500, 0.000, 0.500)
Au (0.677, 0.677, 0.000)

The value obtained for the calculated volume is 208.0 Å³ per cell.



Energy comparison, zero being the most stable, in meV/atom: run w 0; run x 68.



Run w
VASP calculation (PBE-GGA) on a geometry-optimized NdPdAu4 structure.

a = 7.573 Å, b = 7.573 Å, c = 5.485 Å
α = 107.28°, β = 107.28°, γ = 56.54°
Fractional coordinates of all 12 atoms:
Nd (0.216, 0.216, 0.152)
Nd (0.784, 0.784, 0.848)
Pd (0.466, 0.466, 0.240)
Pd (0.534, 0.534, 0.760)
Au (0.081, 0.686, 0.429)
Au (0.190, 0.810, 0.000)
Au (0.314, 0.919, 0.571)
Au (0.318, 0.318, 0.739)
Au (0.682, 0.682, 0.261)
Au (0.686, 0.081, 0.429)
Au (0.810, 0.190, 0.000)
Au (0.919, 0.314, 0.571)

The value obtained for the calculated volume is 247.0 Å³ per cell.



Run x
VASP calculation (PBE-GGA) on a geometry-optimized NdPdAu4 structure.

a = 5.540 Å, b = 5.540 Å, c = 5.540 Å
α = 60.00°, β = 60.00°, γ = 60.00°
Fractional coordinates of all 6 atoms:
Nd (0.000, 0.000, 0.000)
Pd (0.750, 0.750, 0.750)
Au (0.376, 0.376, 0.376)
Au (0.376, 0.376, 0.873)
Au (0.376, 0.873, 0.376)
Au (0.873, 0.376, 0.376)

The value obtained for the calculated volume is 120.2 Å³ per cell.



Energy comparison, zero being the most stable, in meV/atom: run w 34; run x 0.



Run w
VASP calculation (PBE-GGA) on a geometry-optimized NdPd3Au2 structure.

a = 6.763 Å, b = 6.763 Å, c = 4.041 Å
α = 90.00°, β = 90.00°, γ = 143.15°
Fractional coordinates of all 6 atoms:
Nd (0.000, 0.000, 0.000)
Pd (0.173, 0.827, 0.500)
Pd (0.500, 0.500, 0.500)
Pd (0.827, 0.173, 0.500)
Au (0.331, 0.669, 0.000)
Au (0.669, 0.331, 0.000)

The value obtained for the calculated volume is 110.8 Å³ per cell.



Run x
VASP calculation (PBE-GGA) on a geometry-optimized NdPd3Au2 structure.

a = 4.671 Å, b = 4.671 Å, c = 12.018 Å
α = 90.00°, β = 90.00°, γ = 120.00°
Fractional coordinates of all 12 atoms:
Nd (0.000, 0.000, 0.250)
Nd (0.000, 0.000, 0.750)
Pd (0.000, 0.000, 0.000)
Pd (0.000, 0.000, 0.500)
Pd (0.333, 0.667, 0.130)
Pd (0.333, 0.667, 0.370)
Pd (0.667, 0.333, 0.630)
Pd (0.667, 0.333, 0.870)
Au (0.333, 0.667, 0.598)
Au (0.333, 0.667, 0.902)
Au (0.667, 0.333, 0.098)
Au (0.667, 0.333, 0.402)

The value obtained for the calculated volume is 227.1 Å³ per cell.



Energy comparison, zero being the most stable, in meV/atom: run w 0; run x 11.